Material: CaBiPd2
Method: DFT, PBE
State: optimized geometry

Unit cell a=4.7449 b=6.9251 c=10.7350 alpha=90.00 beta=90.00 gamma=90.00
Closest atoms and distances in Å follow each position.
Positions (direct):
1 Ca 0.7500 0.7194 0.3470  6 Pd 2.92-3.26
2 Ca 0.7500 0.2194 0.1530  6 Pd 2.92-3.26
3 Ca 0.2500 0.2806 0.6530  6 Pd 2.92-3.26
4 Ca 0.2500 0.7806 0.8470  6 Pd 2.92-3.26
5 Bi 0.2500 0.0577 0.3515  5 Pd 2.82-2.86
6 Bi 0.7500 0.9423 0.6485  5 Pd 2.82-2.86
7 Bi 0.2500 0.5577 0.1485  5 Pd 2.82-2.86
8 Bi 0.7500 0.4423 0.8515  5 Pd 2.82-2.86
9 Pd 0.7500 0.7163 0.0505  3 Pd 2.74-2.94, 3 Bi 2.82-2.86
10 Pd 0.2500 0.2838 0.9495  3 Pd 2.74-2.94, 3 Bi 2.82-2.86
11 Pd 0.7500 0.2162 0.4495  3 Pd 2.74-2.94, 3 Bi 2.82-2.86
12 Pd 0.2500 0.7837 0.5505  3 Pd 2.74-2.94, 3 Bi 2.82-2.86
13 Pd 0.7500 0.0425 0.9066  3 Pd 2.74-2.94, 2 Bi 2.83-2.86, 3 Ca 2.92-3.05
14 Pd 0.2500 0.4575 0.4066  3 Pd 2.74-2.94, 2 Bi 2.83-2.86, 3 Ca 2.92-3.05
15 Pd 0.7500 0.5425 0.5934  3 Pd 2.74-2.94, 2 Bi 2.83-2.86, 3 Ca 2.92-3.05
16 Pd 0.2500 0.9575 0.0934  3 Pd 2.74-2.94, 2 Bi 2.83-2.86, 3 Ca 2.92-3.05

Values from the calculation:
Symmetry: No. 62
Formation energy from the elements, eV/atom: -0.58
V, Å³ per atom: 22.0



Material: CaBi2Pd9
Method: DFT, PBE
State: optimized geometry

Unit cell a=4.1270 b=4.1270 c=12.4063 alpha=90.00 beta=90.00 gamma=90.00
Closest atoms and distances in Å follow each position.
Positions (direct):
1 Ca 0.0000 0.0000 0.0000  12 Pd 2.92-2.95
2 Bi 0.0000 0.0000 0.3284  12 Pd 2.85-2.96
3 Bi 0.0000 0.0000 0.6716  12 Pd 2.85-2.96
4 Pd 0.5000 0.5000 0.0000  4 Ca 2.92, 8 Pd 2.95
5 Pd 0.5000 0.5000 0.3385  8 Pd 2.88-2.94, 4 Bi 2.92
6 Pd 0.5000 0.5000 0.6615  8 Pd 2.88-2.94, 4 Bi 2.92
7 Pd 0.5000 0.0000 0.1695  2 Bi 2.85, 8 Pd 2.92-2.95, 2 Ca 2.95
8 Pd 0.5000 0.0000 0.5000  8 Pd 2.88-2.92, 4 Bi 2.96
9 Pd 0.5000 0.0000 0.8305  2 Bi 2.85, 8 Pd 2.92-2.95, 2 Ca 2.95
10 Pd 0.0000 0.5000 0.1695  2 Bi 2.85, 8 Pd 2.92-2.95, 2 Ca 2.95
11 Pd 0.0000 0.5000 0.5000  8 Pd 2.88-2.92, 4 Bi 2.96
12 Pd 0.0000 0.5000 0.8305  2 Bi 2.85, 8 Pd 2.92-2.95, 2 Ca 2.95

Values from the calculation:
Symmetry: No. 123
Formation energy from the elements, eV/atom: -0.35
ΔE to the lowest computed polymorph, meV/atom: 0.0
V, Å³ per atom: 17.6



Material: Ca2BiPd
Method: DFT, PBE
State: optimized geometry

Unit cell a=3.5947 b=3.5947 c=8.1882 alpha=90.00 beta=90.00 gamma=90.00
Closest atoms and distances in Å follow each position.
Positions (direct):
1 Ca 0.0000 0.0000 0.7892  4 Pd 3.07
2 Ca 0.0000 0.0000 0.2108  4 Pd 3.07
3 Bi 0.5000 0.5000 0.5000  8 Ca 3.47, 4 Bi 3.59
4 Pd 0.5000 0.5000 0.0000  8 Ca 3.07

Values from the calculation:
Symmetry: No. 123
Formation energy from the elements, eV/atom: -0.70
V, Å³ per atom: 26.5



Material: CaBi2Pd9
Method: DFT, PBE
State: optimized geometry

Unit cell a=5.3738 b=5.3738 c=9.6099 alpha=73.76 beta=73.76 gamma=60.00
Closest atoms and distances in Å follow each position.
Positions (direct):
1 Ca 0.0000 0.0000 0.0000  6 Pd 3.10
2 Bi 0.8684 0.8684 0.3948  9 Pd 2.99-3.25
3 Bi 0.1316 0.1316 0.6052  9 Pd 2.99-3.25
4 Pd 0.6668 0.6668 0.9996  6 Pd 2.76-2.77
5 Pd 0.3332 0.3332 0.0004  6 Pd 2.76-2.77
6 Pd 0.5000 0.5000 0.5000  6 Pd 2.75
7 Pd 0.4154 0.4154 0.2514  7 Pd 2.67-2.77, 2 Bi 2.99
8 Pd 0.9178 0.4154 0.2514  7 Pd 2.67-2.77, 2 Bi 2.99
9 Pd 0.4154 0.9178 0.2514  7 Pd 2.67-2.77, 2 Bi 2.99
10 Pd 0.5846 0.5846 0.7486  7 Pd 2.67-2.77, 2 Bi 2.99
11 Pd 0.5846 0.0822 0.7486  7 Pd 2.67-2.77, 2 Bi 2.99
12 Pd 0.0822 0.5846 0.7486  7 Pd 2.67-2.77, 2 Bi 2.99

Values from the calculation:
Symmetry: No. 166
Formation energy from the elements, eV/atom: -0.25
ΔE to the lowest computed polymorph, meV/atom: 97.7
V, Å³ per atom: 19.0